Ba2Ge3Pt4Pb: relaxed, PBE-GGA.

As for the electronic total energy: -5.235 eV/atom. The calculation puts the density of states at the Fermi level at 0.419 states/eV/atom.

Unit cell a=4.668 b=4.668 c=10.420 alpha=90.00 beta=90.00 gamma=90.00
Element x y z (fractional)
1 Ba 0.000 0.500 0.244
2 Ba 0.500 0.000 0.756
3 Ge 0.000 0.500 0.890
4 Ge 0.500 0.000 0.110
5 Ge 0.500 0.500 0.500
6 Pt 0.000 0.000 0.000
7 Pt 0.000 0.500 0.645
8 Pt 0.500 0.000 0.355
9 Pt 0.500 0.500 0.000
10 Pb 0.000 0.000 0.500



Ba2GePtPb: relaxed, PBE-GGA.

As for the electronic total energy: -4.162 eV/atom. The calculation puts the density of states at the Fermi level at 0.586 states/eV/atom.

Unit cell a=6.260 b=6.260 c=4.722 alpha=90.00 beta=90.00 gamma=90.00
Element x y z (fractional)
1 Ba 0.000 0.500 0.000
2 Ba 0.500 0.000 0.000
3 Ge 0.000 0.000 0.500
4 Pt 0.000 0.000 0.000
5 Pb 0.500 0.500 0.500



BaGeRhPb: relaxed, PBE-GGA.

As for the electronic total energy: -4.943 eV/atom. The calculation puts the density of states at the Fermi level at 0.305 states/eV/atom.

Unit cell a=4.334 b=4.334 c=12.146 alpha=90.00 beta=90.00 gamma=90.00
Element x y z (fractional)
1 Ba 0.250 0.250 0.237
2 Ba 0.750 0.750 0.763
3 Ge 0.250 0.250 0.898
4 Ge 0.750 0.750 0.102
5 Rh 0.250 0.750 0.000
6 Rh 0.750 0.250 0.000
7 Pb 0.250 0.750 0.500
8 Pb 0.750 0.250 0.500



Ba2GeRuPb: relaxed, PBE-GGA.

For the excess energy over the best structure of this formula in the dataset, the calculation gives 0.0 meV per atom. As for the electronic total energy: -3.622 eV/atom. The calculation puts the density of states at the Fermi level at 1.404 states/eV/atom.

Unit cell a=6.521 b=6.521 c=5.016 alpha=90.00 beta=90.00 gamma=90.00
Element x y z (fractional)
1 Ba 0.000 0.500 0.000
2 Ba 0.500 0.000 0.000
3 Ge 0.000 0.000 0.500
4 Ru 0.500 0.500 0.500
5 Pb 0.500 0.500 0.000